No. 1
Cs2ThSnS5 after structural relaxation. Source: Alexandria via LeMat-Bulk, functional PBE.

Results
E (eV per atom): -4.964
Uncorrected formation energy (kJ/mol of formula units): -1053
Mass density (g/cm³): 3.93
M_tot (μB per cell): 0.000
Symmetry: Cmc2_1 (36)
Crystal system: orthorhombic

Cell lengths 4.2001, 10.5121, 15.1778 Å; angles 90.00, 90.00, 101.52 degrees
Fractional positions:
S (0.3284, 0.6568, 0.0052)
S (0.5049, 0.0099, 0.7928)
S (0.3037, 0.6074, 0.6485)
S (0.6963, 0.3926, 0.1485)
S (0.3179, 0.6358, 0.4011)
S (0.6716, 0.3432, 0.5052)
S (0.0537, 0.1074, 0.0187)
S (0.6821, 0.3642, 0.9011)
S (0.9463, 0.8926, 0.5187)
S (0.4951, 0.9901, 0.2928)
Cs (0.1330, 0.2661, 0.3293)
Cs (0.1192, 0.2384, 0.6723)
Cs (0.8670, 0.7339, 0.8293)
Cs (0.8808, 0.7616, 0.1723)
Sn (0.4356, 0.8712, 0.4216)
Sn (0.5644, 0.1288, 0.9216)
Th (0.2063, 0.4125, 0.0344)
Th (0.7937, 0.5875, 0.5344)


No. 2
SbPdS2 after structural relaxation. Source: Alexandria via LeMat-Bulk, functional PBE.

Results
E (eV per atom): -4.478
Uncorrected formation energy (kJ/mol of formula units): -33
Mass density (g/cm³): 5.57
M_tot (μB per cell): 0.000
Symmetry: Pmn2_1 (31)
Crystal system: orthorhombic

Cell lengths 5.1455, 6.0187, 5.6277 Å; angles 90.00, 90.00, 90.00 degrees
Fractional positions:
S (0.5000, 0.3720, 0.0565)
S (0.5000, 0.7808, 0.5428)
S (0.0000, 0.2808, 0.4572)
S (0.0000, 0.8720, 0.9435)
Sb (0.5000, 0.3369, 0.5989)
Sb (0.0000, 0.8369, 0.4011)
Pd (0.5000, 0.9891, 0.9008)
Pd (0.0000, 0.4891, 0.0992)


No. 3
Tc3PtF after structural relaxation. Source: Alexandria via LeMat-Bulk, functional PBE.

Results
E (eV per atom): -7.098
Uncorrected formation energy (kJ/mol of formula units): 339
Mass density (g/cm³): 11.87
M_tot (μB per cell): 0.747
Symmetry: Pm-3m (221)
Energy above the lowest structure with this stoichiometry (eV/atom): 0.000
Crystal system: cubic

Cell lengths 4.1421, 4.1421, 4.1421 Å; angles 90.00, 90.00, 90.00 degrees
Last column: magnetic moment on the atom in μB.
Fractional positions:
Tc (0.5000, 0.0000, 0.0000)  0.09
Tc (0.0000, 0.5000, 0.0000)  0.21
Tc (0.0000, 0.0000, 0.5000)  0.39
F (0.0000, 0.0000, 0.0000)  0.02
Pt (0.5000, 0.5000, 0.5000)  -0.01


No. 4
BeHg2Ir after structural relaxation. Source: Alexandria via LeMat-Bulk, functional PBE.

Results
E (eV per atom): -2.710
Mass density (g/cm³): 14.58
Formation enthalpy at 0 K (eV/atom): 0.59
M_tot (μB per cell): 0.000
Symmetry: Cmmm (65)
Crystal system: orthorhombic

Cell lengths 3.0391, 3.0391, 8.8475 Å; angles 90.00, 90.00, 122.92 degrees
Fractional positions:
Hg (0.0000, 0.0000, 0.9795)
Hg (0.0000, 0.0000, 0.5205)
Ir (0.5000, 0.5000, 0.2500)
Be (0.5000, 0.5000, 0.7500)